A geometry-optimized NbGeAsSe2 structure, computed with PBE.

Properties
- Total DFT energy (no corrections): -4.419 eV/atom
- ΔE to the lowest computed polymorph: 0.6260 eV/atom
- Raw formation energy: 0.8418 eV per atom

a = 4.8370 Å, b = 4.8370 Å, c = 4.8396 Å
α = 90.00°, β = 90.00°, γ = 90.00°
With the nearest neighbours (Å) after each atom.
Fractional positions:
Se: 0.0000 0.5000 0.0000  2 Ge 2.42
Se: 0.5000 0.0000 0.0000  2 Ge 2.42
Ge: 0.0000 0.0000 0.0000  4 Se 2.42, 2 As 2.42
Nb: 0.5000 0.5000 0.5000  4 As 3.42, 8 Se 3.42
As: 0.0000 0.0000 0.5000  2 Ge 2.42

***

A geometry-optimized Er4B3TeRh12 structure, computed with PBE.

Properties
- Total DFT energy (no corrections): -7.076 eV/atom
- Raw formation energy: -0.5943 eV per atom

a = 7.5234 Å, b = 7.5234 Å, c = 7.5234 Å
α = 109.47°, β = 109.47°, γ = 109.47°
With the nearest neighbours (Å) after each atom.
Fractional positions:
B: 0.5000 0.5000 0.0000  6 Rh 1.95-2.17
B: 0.0000 0.5000 0.5000  6 Rh 1.95-2.17
B: 0.5000 0.0000 0.5000  6 Rh 1.95-2.17
Er: 0.5000 0.0000 0.0000  12 Rh 3.07-3.08
Er: 0.0000 0.5000 0.0000  12 Rh 3.07-3.08
Er: 0.0000 0.0000 0.5000  12 Rh 3.07-3.08
Er: 0.5000 0.5000 0.5000  12 Rh 3.07-3.08
Rh: 0.7243 0.7243 0.0000  1 B 1.95
Rh: 0.0000 0.7243 0.7243  1 B 1.95
Rh: 0.7500 0.2500 0.5000  2 B 2.17
Rh: 0.0000 0.2757 0.2757  1 B 1.95
Rh: 0.7243 0.0000 0.7243  1 B 1.95
Rh: 0.5000 0.2500 0.7500  2 B 2.17
Rh: 0.5000 0.7500 0.2500  2 B 2.17
Rh: 0.2500 0.5000 0.7500  2 B 2.17
Rh: 0.7500 0.5000 0.2500  2 B 2.17
Rh: 0.2757 0.2757 0.0000  1 B 1.95
Rh: 0.2757 0.0000 0.2757  1 B 1.95
Rh: 0.2500 0.7500 0.5000  2 B 2.17
Te: 0.0000 0.0000 0.0000  6 Rh 2.40

***

A geometry-optimized PuTl4Se4 structure, computed with PBE.

Properties
- Total DFT energy (no corrections): -4.900 eV/atom
- ΔE to the lowest computed polymorph: 0.0000 eV/atom
- Raw formation energy: -0.7070 eV per atom

a = 4.3075 Å, b = 7.6212 Å, c = 9.6567 Å
α = 75.41°, β = 77.11°, γ = 73.58°
With the nearest neighbours (Å) after each atom.
Fractional positions:
Pu: 0.5000 0.0000 0.0000  6 Se 2.81-2.87
Se: 0.9023 0.2629 0.9325  2 Pu 2.87, 2 Tl 3.04-3.17
Se: 0.6704 0.9465 0.7127  1 Pu 2.81, 2 Tl 3.02
Se: 0.0977 0.7371 0.0675  2 Pu 2.87, 2 Tl 3.04-3.17
Se: 0.3296 0.0535 0.2873  1 Pu 2.81, 2 Tl 3.02
Tl: 0.3023 0.6199 0.7754  3 Se 3.04-3.18
Tl: 0.9154 0.7707 0.3986  3 Se 3.02-3.17
Tl: 0.6977 0.3801 0.2246  3 Se 3.04-3.18
Tl: 0.0846 0.2293 0.6014  3 Se 3.02-3.17

***

A geometry-optimized K2CaTi structure, computed with PBE.

Properties
- ΔE_f: 928.2 meV per atom
- Total DFT energy (no corrections): -2.095 eV/atom
- ΔE to the lowest computed polymorph: 0.0000 eV/atom

a = 6.2889 Å, b = 6.2889 Å, c = 6.2889 Å
α = 60.00°, β = 60.00°, γ = 60.00°
With the nearest neighbours (Å) after each atom.
Fractional positions:
K: 0.7500 0.7500 0.7500  4 Ti 3.85, 4 Ca 3.85
K: 0.2500 0.2500 0.2500  4 Ti 3.85, 4 Ca 3.85
Ca: 0.0000 0.0000 0.0000  8 K 3.85
Ti: 0.5000 0.5000 0.5000  8 K 3.85